First-principles (PBE) data for crystalline Cs3MgH at its relaxed geometry, as listed in Alexandria.

Fermi-level density of states: 0.80 states/eV/atom
total DFT energy (no corrections): -7.0 eV for the cell shown

Cell: 6.392 6.392 6.392 Å, 90.00 90.00 90.00°
Element x y z (fractional)
Cs: 0.000 0.500 0.000
Cs: 0.000 0.000 0.500
Cs: 0.500 0.000 0.000
H: 0.000 0.000 0.000
Mg: 0.500 0.500 0.500

First-principles (PBE) data for crystalline YScZn2 at its relaxed geometry, as listed in Alexandria.

Fermi-level density of states: 1.26 states/eV/atom
DFT formation energy: -15 kJ per mole of atoms
total DFT energy (no corrections): -16.0 eV for the cell shown

Cell: 4.781 4.781 6.013 Å, 77.12 77.12 43.27°
Element x y z (fractional)
Sc: 0.750 0.750 0.750
Y: 0.250 0.250 0.250
Zn: 0.005 0.005 0.959
Zn: 0.495 0.495 0.541

First-principles (PBE) data for crystalline CdAsPt2W at its relaxed geometry, as listed in Alexandria.

Fermi-level density of states: 0.74 states/eV/atom
DFT formation energy: 179 kJ per mole of atoms
total DFT energy (no corrections): -21.3 eV for the cell shown

Cell: 4.922 4.768 4.922 Å, 90.00 90.00 90.00°
Last column: magnetic moment on the atom in μB.
Element x y z (fractional)
As: 0.000 0.500 0.000  -0.12
W: 0.500 0.500 0.500  2.63
Pt: 0.000 0.000 0.500  -0.05
Pt: 0.500 0.000 0.000  -0.01
Cd: 0.000 0.000 0.000  0.01

First-principles (PBE) data for crystalline FeMoP at its relaxed geometry, as listed in Alexandria.

Fermi-level density of states: 1.14 states/eV/atom
DFT formation energy: -58 kJ per mole of atoms
total DFT energy (no corrections): -106.0 eV for the cell shown

Cell: 3.682 5.895 6.730 Å, 90.00 90.00 90.00°
Element x y z (fractional)
P: 0.250 0.269 0.120
P: 0.750 0.731 0.880
P: 0.250 0.769 0.380
P: 0.750 0.231 0.620
Mo: 0.750 0.973 0.173
Mo: 0.250 0.027 0.827
Mo: 0.750 0.473 0.327
Mo: 0.250 0.527 0.673
Fe: 0.250 0.640 0.063
Fe: 0.750 0.360 0.937
Fe: 0.250 0.140 0.437
Fe: 0.750 0.860 0.563

First-principles (PBE) data for crystalline TbNi2Pd at its relaxed geometry, as listed in Alexandria.

Fermi-level density of states: 0.66 states/eV/atom
DFT formation energy: -30 kJ per mole of atoms
total DFT energy (no corrections): -22.6 eV for the cell shown

Cell: 4.465 4.465 4.466 Å, 60.01 60.01 60.00°
Element x y z (fractional)
Ni: 0.750 0.750 0.749
Ni: 0.250 0.250 0.251
Tb: 0.000 0.000 0.000
Pd: 0.500 0.500 0.500

First-principles (PBE) data for crystalline Pa2Re3Tc at its relaxed geometry, as listed in Alexandria.

Fermi-level density of states: 1.38 states/eV/atom
DFT formation energy: -18 kJ per mole of atoms
total DFT energy (no corrections): -67.8 eV for the cell shown

Cell: 5.251 5.251 5.372 Å, 99.38 113.79 114.88°
Element x y z (fractional)
Pa: 0.750 0.374 0.123
Pa: 0.250 0.626 0.877
Re: 0.500 0.500 0.500
Re: 0.000 0.000 0.500
Re: 0.500 0.000 0.500
Tc: 0.000 0.000 0.000

First-principles (PBE) data for crystalline AsAuCl at its relaxed geometry, as listed in Alexandria.

Fermi-level density of states: 0.41 states/eV/atom
formation energy without anion corrections: 0.160 eV per atom
total DFT energy (no corrections): -9.3 eV for the cell shown

Cell: 6.142 6.142 6.142 Å, 148.73 148.73 44.81°
Element x y z (fractional)
As: 0.982 0.982 0.000
Au: 0.363 0.363 0.000
Cl: 0.656 0.656 0.000

First-principles (PBE) data for crystalline ZrSc2Cr at its relaxed geometry, as listed in Alexandria.

Fermi-level density of states: 1.35 states/eV/atom
DFT formation energy: 16 kJ per mole of atoms
total DFT energy (no corrections): -30.2 eV for the cell shown

Cell: 5.763 5.763 5.763 Å, 145.30 129.16 63.02°
Last column: magnetic moment on the atom in μB.
Element x y z (fractional)
Cr: 0.255 0.755 0.500  2.36
Sc: 0.034 0.034 0.000  -0.03
Sc: 0.748 0.248 0.500  -0.03
Zr: 0.462 0.462 0.000  -0.23

First-principles (PBE) data for crystalline SiP at its relaxed geometry, as listed in Alexandria.

Fermi-level density of states: 0.63 states/eV/atom
formation energy without anion corrections: 0.272 eV per atom
total DFT energy (no corrections): -82.3 eV for the cell shown

Cell: 10.026 10.026 3.571 Å, 90.00 90.00 90.00°
Element x y z (fractional)
Si: 0.384 0.760 0.000
Si: 0.616 0.240 0.000
Si: 0.240 0.384 0.000
Si: 0.760 0.616 0.000
Si: 0.884 0.260 0.500
Si: 0.116 0.740 0.500
Si: 0.740 0.884 0.500
Si: 0.260 0.116 0.500
P: 0.384 0.185 0.000
P: 0.616 0.815 0.000
P: 0.815 0.384 0.000
P: 0.185 0.616 0.000
P: 0.884 0.685 0.500
P: 0.116 0.315 0.500
P: 0.315 0.884 0.500
P: 0.685 0.116 0.500

First-principles (PBE) data for crystalline Nd6Y3Er at its relaxed geometry, as listed in Alexandria.

Fermi-level density of states: 1.49 states/eV/atom
DFT formation energy: 6 kJ per mole of atoms
total DFT energy (no corrections): -103.9 eV for the cell shown

Cell: 3.586 17.052 17.361 Å, 139.91 90.00 90.00°
Element x y z (fractional)
Nd: 0.750 0.545 0.635
Nd: 0.250 0.455 0.365
Nd: 0.750 0.951 0.126
Nd: 0.250 0.049 0.874
Nd: 0.750 0.343 0.100
Nd: 0.250 0.657 0.900
Nd: 0.750 0.760 0.154
Nd: 0.250 0.240 0.846
Nd: 0.750 0.141 0.600
Nd: 0.250 0.859 0.400
Nd: 0.750 0.756 0.639
Nd: 0.250 0.244 0.361
Y: 0.750 0.451 0.875
Y: 0.250 0.549 0.125
Y: 0.750 0.652 0.367
Y: 0.250 0.348 0.633
Y: 0.750 0.152 0.121
Y: 0.250 0.848 0.879
Er: 0.750 0.966 0.644
Er: 0.250 0.034 0.356

First-principles (PBE) data for crystalline Zr3Sc3TiN8 at its relaxed geometry, as listed in Alexandria.

Fermi-level density of states: 0.22 states/eV/atom
formation energy without anion corrections: -1.658 eV per atom
total DFT energy (no corrections): -144.0 eV for the cell shown

Cell: 6.380 6.380 6.380 Å, 120.00 90.00 120.00°
Element x y z (fractional)
Zr: 0.500 0.000 0.500
Zr: 0.500 0.500 0.500
Zr: 0.000 0.500 0.500
Sc: 0.000 0.000 0.000
Sc: 0.000 0.500 0.000
Sc: 0.500 0.500 0.000
Ti: 0.000 0.000 0.500
N: 0.249 0.499 0.248
N: 0.751 0.501 0.752
N: 0.766 0.533 0.269
N: 0.234 0.467 0.731
N: 0.766 0.002 0.269
N: 0.234 0.998 0.731
N: 0.236 0.002 0.269
N: 0.764 0.998 0.731

First-principles (PBE) data for crystalline Tb7SeI12 at its relaxed geometry, as listed in Alexandria.

Fermi-level density of states: 0.17 states/eV/atom
formation energy without anion corrections: -1.312 eV per atom
total DFT energy (no corrections): -80.7 eV for the cell shown

Cell: 9.710 9.710 9.710 Å, 108.03 108.03 108.03°
Element x y z (fractional)
Tb: 0.963 0.690 0.893
Tb: 0.310 0.107 0.037
Tb: 0.107 0.037 0.310
Tb: 0.500 0.500 0.500
Tb: 0.893 0.963 0.690
Tb: 0.690 0.893 0.963
Tb: 0.037 0.310 0.107
Se: 0.000 0.000 0.000
I: 0.923 0.312 0.774
I: 0.688 0.226 0.077
I: 0.471 0.153 0.390
I: 0.847 0.610 0.529
I: 0.226 0.077 0.688
I: 0.610 0.529 0.847
I: 0.390 0.471 0.153
I: 0.774 0.923 0.312
I: 0.153 0.390 0.471
I: 0.529 0.847 0.610
I: 0.312 0.774 0.923
I: 0.077 0.688 0.226